! GGA-PBEsol TcMoAs2, optimized geometry; values from VASP
&SYSTEM
  ibrav = 0, nat = 4, ntyp = 3
/
ATOMIC_SPECIES
Mo 95.94 Mo.upf
Tc 98.00 Tc.upf
As 74.92 As.upf
ATOMIC_POSITIONS angstrom
Mo 0.979 2.080 0.956
Tc 0.512 3.060 3.707
As 1.998 4.243 1.949
As -0.521 0.868 2.699
CELL_PARAMETERS angstrom
-2.661 0.900 0.769
0.396 -1.764 3.435
2.093 4.446 2.043
! total moment: 0.00 μB per atom
! electronic total energy: -8.35 eV/atom
! crystal system: orthorhombic
! DFT formation energy: -42 meV/atom